This record from Alexandria via LeMat-Bulk describes a relaxed BaLaIrI crystal. The functional is PBE-GGA.

Results
**Magnetic moment**: 0.000 μB/f.u.
**Formation energy (no corrections)**: -0.930 eV per atom

Unit cell a=4.3590 b=4.3593 c=8.9413 alpha=90.00 beta=104.11 gamma=120.00
Sites, in units of the cell vectors:
1 Ba 0.5039 0.1498 0.6691
2 I 0.9560 0.3762 0.3470
3 Ir 0.3247 0.5602 0.9003
4 La 0.0934 0.9446 0.0533